# 1
Compound: MgCdSb2
Source: Alexandria via LeMat-Bulk
Functional: meta-GGA SCAN
Structure: single point on PBEsol structure

a b c (Å): 3.222 5.190 5.916
angles (deg): 90.00 90.00 90.00
Fractional coordinates of all 4 atoms:
Sb (0.876, 0.500, 0.000)
Sb (0.375, 0.000, 0.500)
Mg (0.873, 0.500, 0.500)
Cd (0.376, 0.000, 0.000)

Summary:
Polymorph energy (0 for the lowest one), meV per atom: 0
Formation energy (no corrections), eV/atom: -0.0871
Total moment, μB/f.u.: 0.0
Fermi-level density of states, states/eV/cell: 1.6
Space-group type: Pmm2, No. 25

***

# 2
Compound: MgCd2Sb
Source: Alexandria via LeMat-Bulk
Functional: meta-GGA SCAN
Structure: single point on PBEsol structure

a b c (Å): 3.380 4.275 6.299
angles (deg): 90.00 90.00 90.00
Fractional coordinates of all 4 atoms:
Sb (0.500, 0.500, 0.728)
Mg (0.000, 0.000, 0.506)
Cd (0.000, 0.000, 0.029)
Cd (0.500, 0.500, 0.237)

Summary:
Formation energy (no corrections), eV/atom: -0.0398
Total moment, μB/f.u.: 0.0
Fermi-level density of states, states/eV/cell: 1.5
Space-group type: Pmm2, No. 25

***

# 3
Compound: MgCdSb4
Source: Alexandria via LeMat-Bulk
Functional: meta-GGA SCAN
Structure: single point on PBEsol structure

a b c (Å): 6.184 6.184 6.184
angles (deg): 60.00 60.00 60.00
Fractional coordinates of all 6 atoms:
Cd (0.750, 0.750, 0.750)
Mg (0.000, 0.000, 0.000)
Sb (0.376, 0.376, 0.376)
Sb (0.376, 0.376, 0.873)
Sb (0.873, 0.376, 0.376)
Sb (0.376, 0.873, 0.376)

Summary:
Formation energy (no corrections), eV/atom: 0.2874
Total moment, μB/f.u.: 0.0
Fermi-level density of states, states/eV/cell: 2.9
Space-group type: F-43m, No. 216

***

# 4
Compound: MgCdSb2
Source: Alexandria via LeMat-Bulk
Functional: meta-GGA SCAN
Structure: single point on PBEsol structure

a b c (Å): 4.299 4.319 5.242
angles (deg): 90.00 90.00 90.00
Fractional coordinates of all 4 atoms:
Sb (0.000, 0.000, 0.000)
Sb (0.500, 0.000, 0.500)
Mg (0.000, 0.500, 0.500)
Cd (0.500, 0.500, 0.000)

Summary:
Polymorph energy (0 for the lowest one), meV per atom: 93
Formation energy (no corrections), eV/atom: 0.0057
Total moment, μB/f.u.: 0.0
Fermi-level density of states, states/eV/cell: 1.7
Space-group type: Pmmm, No. 47

***

# 5
Compound: Mg2CdSb
Source: Alexandria via LeMat-Bulk
Functional: meta-GGA SCAN
Structure: single point on PBEsol structure

a b c (Å): 3.972 3.972 5.862
angles (deg): 90.00 90.00 90.00
Fractional coordinates of all 4 atoms:
Sb (0.000, 0.000, 0.478)
Mg (0.000, 0.000, 0.978)
Mg (0.500, 0.500, 0.272)
Cd (0.500, 0.500, 0.772)

Summary:
Polymorph energy (0 for the lowest one), meV per atom: 65
Formation energy (no corrections), eV/atom: -0.1040
Total moment, μB/f.u.: 0.0
Fermi-level density of states, states/eV/cell: 1.7
Space-group type: P4mm, No. 99

***

# 6
Compound: Mg2CdSb
Source: Alexandria via LeMat-Bulk
Functional: meta-GGA SCAN
Structure: single point on PBEsol structure

a b c (Å): 5.068 5.068 5.068
angles (deg): 60.00 60.00 60.00
Fractional coordinates of all 4 atoms:
Sb (0.500, 0.500, 0.500)
Mg (0.250, 0.250, 0.250)
Mg (0.750, 0.750, 0.750)
Cd (0.000, 0.000, 0.000)

Summary:
Polymorph energy (0 for the lowest one), meV per atom: 57
Formation energy (no corrections), eV/atom: -0.1117
Total moment, μB/f.u.: 0.0
Fermi-level density of states, states/eV/cell: 1.7
Space-group type: Fm-3m, No. 225

***

Copy entry 5 word for word.
Compound: Mg2CdSb
Source: Alexandria via LeMat-Bulk
Functional: meta-GGA SCAN
Structure: single point on PBEsol structure

a b c (Å): 3.972 3.972 5.862
angles (deg): 90.00 90.00 90.00
Fractional coordinates of all 4 atoms:
Sb (0.000, 0.000, 0.478)
Mg (0.000, 0.000, 0.978)
Mg (0.500, 0.500, 0.272)
Cd (0.500, 0.500, 0.772)

Summary:
Polymorph energy (0 for the lowest one), meV per atom: 65
Formation energy (no corrections), eV/atom: -0.1040
Total moment, μB/f.u.: 0.0
Fermi-level density of states, states/eV/cell: 1.7
Space-group type: P4mm, No. 99